12
Lattice="6.175 -0.009 -0.003 -3.094 5.344 -0.003 -1.031 -1.784 6.179" Properties=species:S:1:pos:R:3 comment="K3Sr2WO6 (PBE+U, relaxed)" mass_density_g_cm3=4.7 space_group="C2/m, No. 12" total_energy_ev_per_atom=-5.7832 dos_at_fermi_per_ev_fu=0.0 pbc="T T T"
Sr -0.029 3.574 -0.003
Sr 3.110 1.761 -0.003
K 1.025 1.775 3.087
K -2.082 3.570 3.087
K 4.133 -0.020 3.087
O -0.207 -0.358 5.058
O 2.257 3.909 1.115
O 1.744 0.001 1.180
O 2.921 2.040 4.993
O -0.871 1.511 1.180
O 0.307 3.549 4.993
W 0.000 0.000 0.000